DFT (PBE-GGA) results for a geometry-optimized LaPrGa2 structure.

Calculated values
* polymorph energy (0 for the lowest one): 0.028 eV per atom
* DFT total energy: -4.50 eV/atom
* Fermi-level density of states: 2.54 states/eV per cell

Lattice parameters (Å, degrees): 3.7510 3.7510 7.4953 90.00 90.00 90.00
With the nearest neighbours (Å) after each atom.
Fractional positions:
Pr 0.5000 0.5000 0.0000  8 Ga 3.22
Ga 0.0000 0.0000 0.7566  4 Pr 3.22, 4 La 3.28
Ga 0.0000 0.0000 0.2434  4 Pr 3.22, 4 La 3.28
La 0.5000 0.5000 0.5000  8 Ga 3.28